1.
Here is crystalline KInRu2 at its relaxed geometry from Alexandria. Energies are from PBE. Values from VASP.

The structure in Quantum ESPRESSO input format:
```
&SYSTEM
  ibrav = 0, nat = 4, ntyp = 3
/
ATOMIC_SPECIES
K 39.10 K.upf
In 114.82 In.upf
Ru 101.07 Ru.upf
CELL_PARAMETERS angstrom
2.9860 0.0000 0.0000
0.0000 2.9860 0.0000
0.0000 0.0000 9.3911
ATOMIC_POSITIONS crystal
K 0.0000 0.0000 0.0000
In 0.5000 0.5000 0.6709
Ru 0.0000 0.0000 0.4455
Ru 0.5000 0.5000 0.2943
```

Values from the calculation:
Formation energy   0.42 eV/atom
Electronic total energy   -20.7 eV/cell
Total magnetic moment   0.000 μB per formula unit

2.
Here is crystalline KInRu2 at its relaxed geometry from Alexandria. Energies are from PBE. Values from VASP.

The structure in Quantum ESPRESSO input format:
```
&SYSTEM
  ibrav = 0, nat = 4, ntyp = 3
/
ATOMIC_SPECIES
K 39.10 K.upf
In 114.82 In.upf
Ru 101.07 Ru.upf
CELL_PARAMETERS angstrom
2.9222 0.0000 0.0000
0.0000 2.9222 0.0000
0.0000 0.0000 9.4992
ATOMIC_POSITIONS crystal
K 0.0000 0.0000 0.0000
In 0.0000 0.0000 0.5000
Ru 0.5000 0.5000 0.2931
Ru 0.5000 0.5000 0.7069
```

Values from the calculation:
Formation energy   0.85 eV/atom
Electronic total energy   -19.0 eV/cell
Total magnetic moment   2.612 μB per formula unit

3.
Here is crystalline KInRu2 at its relaxed geometry from Alexandria. Energies are from PBE. Values from VASP.

The structure in Quantum ESPRESSO input format:
```
&SYSTEM
  ibrav = 0, nat = 4, ntyp = 3
/
ATOMIC_SPECIES
K 39.10 K.upf
In 114.82 In.upf
Ru 101.07 Ru.upf
CELL_PARAMETERS angstrom
-2.1538 2.1538 4.2338
2.1538 -2.1538 4.2338
2.1538 2.1538 -4.2338
ATOMIC_POSITIONS crystal
K 0.0000 0.0000 0.0000
In 0.5000 0.5000 0.0000
Ru 0.2500 0.7500 0.5000
Ru 0.7500 0.2500 0.5000
```

Values from the calculation:
Formation energy   1.13 eV/atom
Electronic total energy   -17.8 eV/cell
Total magnetic moment   2.807 μB per formula unit

4.
Here is crystalline K2In2Ru at its relaxed geometry from Alexandria. Energies are from PBE. Values from VASP.

The structure in Quantum ESPRESSO input format:
```
&SYSTEM
  ibrav = 0, nat = 10, ntyp = 3
/
ATOMIC_SPECIES
K 39.10 K.upf
In 114.82 In.upf
Ru 101.07 Ru.upf
CELL_PARAMETERS angstrom
10.5080 0.0000 0.0000
0.0000 10.5080 0.0000
0.0000 0.0000 3.0101
ATOMIC_POSITIONS crystal
K 0.1951 0.3049 0.0000
K 0.3049 0.8049 0.0000
K 0.6951 0.1951 0.0000
K 0.8049 0.6951 0.0000
In 0.1011 0.6011 0.5000
In 0.3989 0.1011 0.5000
In 0.6011 0.8989 0.5000
In 0.8989 0.3989 0.5000
Ru 0.0000 0.0000 0.0000
Ru 0.5000 0.5000 0.0000
```

Values from the calculation:
Formation energy   0.91 eV/atom
Electronic total energy   -24.8 eV/cell
Total magnetic moment   2.543 μB per formula unit
Energy above the most stable polymorph in this dataset   636.6 meV/atom

5.
Here is crystalline KInRu2 at its relaxed geometry from Alexandria. Energies are from PBE. Values from VASP.

The structure in Quantum ESPRESSO input format:
```
&SYSTEM
  ibrav = 0, nat = 4, ntyp = 3
/
ATOMIC_SPECIES
K 39.10 K.upf
In 114.82 In.upf
Ru 101.07 Ru.upf
CELL_PARAMETERS angstrom
-1.4320 2.6534 5.4670
1.4320 -2.6534 5.4670
1.4320 2.6534 -5.4670
ATOMIC_POSITIONS crystal
K 0.0000 0.0000 0.0000
In 0.3004 0.8004 0.5000
Ru 0.5324 0.5324 0.0000
Ru 0.7173 0.2173 0.5000
```

Values from the calculation:
Formation energy   0.78 eV/atom
Electronic total energy   -19.3 eV/cell
Total magnetic moment   0.000 μB per formula unit

6.
Here is crystalline KInRu2 at its relaxed geometry from Alexandria. Energies are from PBE. Values from VASP.

The structure in Quantum ESPRESSO input format:
```
&SYSTEM
  ibrav = 0, nat = 4, ntyp = 3
/
ATOMIC_SPECIES
K 39.10 K.upf
In 114.82 In.upf
Ru 101.07 Ru.upf
CELL_PARAMETERS angstrom
4.9624 -1.4749 0.0000
4.9624 1.4749 0.0000
-1.1761 0.0000 6.5520
ATOMIC_POSITIONS crystal
K 0.0000 0.0000 0.0000
In 0.5000 0.5000 0.5000
Ru 0.2265 0.2265 0.6412
Ru 0.7735 0.7735 0.3588
```

Values from the calculation:
Formation energy   0.71 eV/atom
Electronic total energy   -19.5 eV/cell
Total magnetic moment   0.706 μB per formula unit

7.
Here is crystalline KInRu2 at its relaxed geometry from Alexandria. Energies are from PBE. Values from VASP.

The structure in Quantum ESPRESSO input format:
```
&SYSTEM
  ibrav = 0, nat = 8, ntyp = 3
/
ATOMIC_SPECIES
K 39.10 K.upf
In 114.82 In.upf
Ru 101.07 Ru.upf
CELL_PARAMETERS angstrom
-2.2451 2.2451 9.8280
2.2451 -2.2451 9.8280
2.2451 2.2451 -9.8280
ATOMIC_POSITIONS crystal
K 0.0000 0.0000 0.0000
K 0.7500 0.2500 0.5000
In 0.2500 0.7500 0.5000
In 0.5000 0.5000 0.0000
Ru 0.2694 0.6250 0.1444
Ru 0.3750 0.5194 0.6444
Ru 0.4806 0.1250 0.8556
Ru 0.8750 0.7306 0.3556
```

Values from the calculation:
Formation energy   0.94 eV/atom
Electronic total energy   -37.3 eV/cell
Total magnetic moment   0.000 μB per formula unit

8.
Here is crystalline KInRu2 at its relaxed geometry from Alexandria. Energies are from PBE. Values from VASP.

The structure in Quantum ESPRESSO input format:
```
&SYSTEM
  ibrav = 0, nat = 4, ntyp = 3
/
ATOMIC_SPECIES
K 39.10 K.upf
In 114.82 In.upf
Ru 101.07 Ru.upf
CELL_PARAMETERS angstrom
4.2293 0.0000 0.0000
0.0000 4.2293 0.0000
0.0000 0.0000 4.3855
ATOMIC_POSITIONS crystal
K 0.0000 0.0000 0.0000
In 0.5000 0.5000 0.0000
Ru 0.0000 0.5000 0.5000
Ru 0.5000 0.0000 0.5000
```

Values from the calculation:
Formation energy   1.14 eV/atom
Electronic total energy   -17.8 eV/cell
Total magnetic moment   2.729 μB per formula unit